This record from Alexandria describes a geometry-optimized LiCoPO4 structure. The functional is PBE with a Hubbard U.

Lattice parameters (Å, degrees): 5.0798 10.1485 13.5625 90.00 90.00 90.00
Positions (direct):
O (0.4496, 0.0318, 0.2180)
O (0.5504, 0.5318, 0.2180)
O (0.0648, 0.7172, 0.2780)
O (0.4496, 0.4682, 0.7180)
O (0.3521, 0.2487, 0.8743)
O (0.4409, 0.4733, 0.5294)
O (0.0818, 0.7231, 0.4662)
O (0.8682, 0.9946, 0.1204)
O (0.5504, 0.9682, 0.7180)
O (0.9182, 0.2769, 0.9662)
O (0.0006, 0.5675, 0.8724)
O (0.4409, 0.0267, 0.0294)
O (0.3521, 0.2513, 0.3743)
O (0.5591, 0.5267, 0.0294)
O (0.4921, 0.1835, 0.6265)
O (0.0648, 0.7828, 0.7780)
O (0.9182, 0.2231, 0.4662)
O (0.6479, 0.7487, 0.8743)
O (0.5079, 0.6835, 0.6265)
O (0.4921, 0.3165, 0.1265)
O (0.0818, 0.7769, 0.9662)
O (0.1318, 0.0054, 0.6204)
O (0.9994, 0.4325, 0.3724)
O (0.9352, 0.2828, 0.7780)
O (0.8682, 0.5054, 0.6204)
O (0.9352, 0.2172, 0.2780)
O (0.5079, 0.8165, 0.1265)
O (0.9994, 0.0675, 0.8724)
O (0.5591, 0.9733, 0.5294)
O (0.0006, 0.9325, 0.3724)
O (0.6479, 0.7513, 0.3743)
O (0.1318, 0.4946, 0.1204)
Co (0.0745, 0.9686, 0.9972)
Co (0.9255, 0.4686, 0.9972)
Co (0.5513, 0.2829, 0.7501)
Co (0.0745, 0.5314, 0.4972)
Co (0.5513, 0.2171, 0.2501)
Co (0.4487, 0.7171, 0.2501)
Co (0.9255, 0.0314, 0.4972)
Co (0.4487, 0.7829, 0.7501)
P (0.0517, 0.2814, 0.3726)
P (0.4332, 0.0333, 0.6238)
P (0.5668, 0.9667, 0.1238)
P (0.9483, 0.7814, 0.3726)
P (0.4332, 0.4667, 0.1238)
P (0.9483, 0.7186, 0.8726)
P (0.0517, 0.2186, 0.8726)
P (0.5668, 0.5333, 0.6238)
Li (0.5507, 0.2864, 0.4990)
Li (0.4493, 0.7136, 0.9990)
Li (0.9377, 0.5320, 0.2466)
Li (0.0623, 0.4680, 0.7466)
Li (0.9377, 0.9680, 0.7466)
Li (0.5507, 0.2136, 0.9990)
Li (0.4493, 0.7864, 0.4990)
Li (0.0623, 0.0320, 0.2466)

Computed properties:
E = -0.2441 Ha/atom
Spin magnetization = 0.429 μB/atom